Entry 1:
# Sm2TmAg3Te6

Sm2TmAg3Te6 after structural relaxation (PBE, Alexandria).

Cell lengths 4.424, 8.521, 10.140 Å; angles 102.82, 102.60, 90.00 degrees
Fractional positions:
Te 0.010 0.254 0.019
Te 0.658 0.038 0.317
Ag 0.500 0.500 0.000
Sm 0.828 0.693 0.656
Te 0.990 0.746 0.981
Te 0.339 0.430 0.678
Ag 0.794 0.226 0.588
Tm 0.500 0.000 0.000
Sm 0.172 0.307 0.344
Te 0.661 0.570 0.322
Ag 0.206 0.774 0.412
Te 0.342 0.962 0.683

Summary:
SG: C2/m (12)
DFT total energy (eV per cell): -51.46
Magnetic moment (μB/f.u.): 0.00
Formation energy (no corrections) (eV per atom): -0.846



Entry 2:
# Al2CuSi2O8F

Al2CuSi2O8F after structural relaxation (PBE, Alexandria).

Cell lengths 4.886, 8.985, 14.103 Å; angles 90.00, 89.70, 90.00 degrees
Last column: magnetic moment on the atom in μB.
Fractional positions:
Si 0.597 0.942 0.646  -0.01
O 0.310 0.508 0.061  0.00
Al 0.897 0.867 0.453  0.00
Cu 0.147 0.150 0.750  -0.45
Si 0.408 0.060 0.147  0.00
O 0.198 0.017 0.060  0.01
F 0.403 0.253 0.966  0.00
O 0.484 0.240 0.148  -0.04
O 0.194 0.535 0.855  -0.05
O 0.805 0.462 0.356  -0.05
Si 0.092 0.560 0.353  0.00
Si 0.903 0.442 0.854  -0.01
O 0.698 0.483 0.560  0.01
O 0.016 0.740 0.352  -0.04
F 0.597 0.747 0.034  0.00
Al 0.603 0.367 0.047  0.00
Si 0.403 0.058 0.354  -0.01
Al 0.103 0.133 0.547  0.00
O 0.695 0.962 0.144  -0.05
Cu 0.853 0.850 0.250  -0.45
Si 0.097 0.558 0.146  -0.01
O 0.690 0.492 0.939  0.00
O 0.528 0.759 0.647  0.03
O 0.806 0.465 0.145  -0.05
Si 0.592 0.940 0.853  0.00
Al 0.898 0.867 0.047  0.00
O 0.740 0.976 0.750  0.00
Al 0.397 0.633 0.953  0.00
O 0.901 0.259 0.020  0.46
O 0.401 0.241 0.520  0.46
O 0.099 0.741 0.980  0.46
O 0.195 0.538 0.644  -0.05
O 0.599 0.759 0.480  0.46
O 0.516 0.760 0.852  -0.04
O 0.760 0.476 0.750  0.00
Cu 0.353 0.650 0.750  -0.45
O 0.984 0.260 0.648  -0.04
O 0.694 0.965 0.355  -0.05
Al 0.102 0.133 0.953  0.00
F 0.903 0.247 0.466  0.00
Si 0.908 0.440 0.647  0.00
F 0.097 0.753 0.534  0.00
O 0.802 0.983 0.940  0.01
O 0.260 0.024 0.250  0.00
Al 0.602 0.367 0.453  0.00
O 0.972 0.259 0.853  0.03
Al 0.398 0.633 0.547  0.00
O 0.306 0.035 0.645  -0.05
O 0.190 0.008 0.439  0.00
O 0.810 0.992 0.561  0.00
O 0.028 0.741 0.147  0.03
Cu 0.647 0.350 0.250  -0.45
O 0.302 0.517 0.440  0.01
O 0.240 0.524 0.250  0.00
O 0.305 0.038 0.856  -0.05
O 0.472 0.241 0.353  0.03

Summary:
SG: P2_1/c (14)
DFT total energy (eV per cell): -391.54
Magnetic moment (μB/f.u.): 0.00
Formation energy (no corrections) (eV per atom): -2.423



Entry 3:
# Li3Mg2BRh3

Li3Mg2BRh3 after structural relaxation (PBE, Alexandria).

Cell lengths 2.952, 6.928, 6.928 Å; angles 120.00, 90.00, 90.00 degrees
Fractional positions:
Li 0.000 0.350 0.000
Rh 0.500 0.240 0.240
B 0.000 0.000 0.000
Mg 0.500 0.333 0.667
Li 0.000 0.650 0.650
Li 0.000 0.000 0.350
Mg 0.500 0.667 0.333
Rh 0.500 0.760 0.000
Rh 0.500 0.000 0.760

Summary:
Formation enthalpy at 0 K (meV/atom): -284.6
SG: P-62m (189)
DFT total energy (eV per cell): -40.22
Magnetic moment (μB/f.u.): 0.00